# MnAsPO2 | the Alexandria database | PBE with a Hubbard U | relaxed
# Density of states at the Fermi level = 1.093 states/eV per cell
# Calculated density = 4567 kg/m3
# E above lowest polymorph = 0 kJ/mol of formula units
data_MnAsPO2
_chemical_formula_sum 'Mn1 As1 P1 O2'
_cell_length_a 3.735
_cell_length_b 3.735
_cell_length_c 5.026
_cell_angle_alpha 90.00
_cell_angle_beta 90.00
_cell_angle_gamma 90.00
_space_group_name_H-M_alt 'P 1'
_space_group_IT_number 1
loop_
_space_group_symop_operation_xyz
'x,y,z'
loop_
_atom_site_label
_atom_site_fract_x
_atom_site_fract_y
_atom_site_fract_z
_atom_site_occupancy
Mn1 0.000 0.000 0.000 1
As1 0.500 0.500 0.500 1
P1 0.500 0.500 0.000 1
O1 0.000 0.500 0.500 1
O2 0.500 0.000 0.500 1